*1*
A plane-wave DFT calculation with GGA-PBEsol was carried out for crystalline Ca5Zn3 at its relaxed geometry.

Structure (extended XYZ):
```
8
Lattice="-0.1871 2.1960 4.6409 2.6489 -5.4101 2.6668 5.1655 3.7723 -1.5768" Properties=species:S:1:pos:R:3 pbc="T T T"
Ca 1.3245 -2.7051 1.3334
Ca 5.4596 -0.0659 3.0950
Ca 2.1677 0.6240 2.6359
Ca 0.0000 0.0000 0.0000
Ca 2.5827 1.8861 -0.7884
Zn 3.0961 -2.3390 4.0754
Zn 4.5312 2.8971 1.6555
Zn 3.9072 -0.8189 0.5450
```

Values from the calculation:
total magnetization: 0.000 Bohr magnetons per cell
D(E_F): 7.95 states/eV/f.u.

*2*
A plane-wave DFT calculation with GGA-PBEsol was carried out for crystalline Ca5Zn3 at its relaxed geometry.

Structure (extended XYZ):
```
16
Lattice="6.0707 0.0000 0.0000 3.0353 8.5494 0.0000 3.0353 0.0000 8.5494" Properties=species:S:1:pos:R:3 pbc="T T T"
Ca 9.1060 6.0145 7.4243
Ca 7.5884 4.2747 4.2747
Ca 6.0707 7.4243 2.5349
Ca 6.0707 1.1252 2.5349
Ca 6.0707 1.1252 6.0145
Ca 6.0707 7.4243 6.0145
Ca 3.0353 2.5349 1.1252
Ca 3.0353 6.0145 1.1252
Ca 4.5530 4.2747 4.2747
Ca 9.1060 2.5349 7.4243
Zn 6.0707 4.2747 7.0042
Zn 6.0707 4.2747 1.5453
Zn 4.5530 0.0000 0.0000
Zn 3.0353 1.5453 4.2747
Zn 9.1060 7.0042 4.2747
Zn 1.5177 0.0000 0.0000
```

Values from the calculation:
total magnetization: 0.000 Bohr magnetons per cell
D(E_F): 6.96 states/eV/f.u.

From most stable to least stable, the computed energies give *2*, *1*.

*1*
A plane-wave DFT calculation with GGA-PBEsol was carried out for crystalline Cd at its relaxed geometry.

Structure (extended XYZ):
```
3
Lattice="-2.2938 -1.4279 1.2292 0.3005 -1.2780 2.6603 -3.0270 6.0369 4.9481" Properties=species:S:1:pos:R:3 pbc="T T T"
Cd -3.5720 1.9187 6.3153
Cd -1.4482 1.4123 2.5223
Cd 0.0000 0.0000 0.0000
```

Values from the calculation:
total magnetization: 0.000 Bohr magnetons per cell
D(E_F): 0.37 states/eV/f.u.

*2*
A plane-wave DFT calculation with GGA-PBEsol was carried out for crystalline Cd at its relaxed geometry.

Structure (extended XYZ):
```
2
Lattice="2.8675 0.0000 0.0000 1.4338 4.0407 0.0000 1.4338 0.0000 4.0407" Properties=species:S:1:pos:R:3 pbc="T T T"
Cd 0.0000 0.0000 0.0000
Cd 3.5844 2.0203 2.0203
```

Values from the calculation:
total magnetization: 0.000 Bohr magnetons per cell
D(E_F): 0.39 states/eV/f.u.

*3*
A plane-wave DFT calculation with GGA-PBEsol was carried out for crystalline Cd at its relaxed geometry.

Structure (extended XYZ):
```
3
Lattice="2.9817 0.0000 0.0000 0.0000 4.9823 0.0000 0.0000 -2.4912 4.3148" Properties=species:S:1:pos:R:3 pbc="T T T"
Cd 1.4909 0.0000 2.8766
Cd 0.0000 0.0000 0.0000
Cd 1.4909 2.4912 1.4383
```

Values from the calculation:
total magnetization: 0.000 Bohr magnetons per cell
D(E_F): 0.46 states/eV/f.u.

*4*
A plane-wave DFT calculation with GGA-PBEsol was carried out for crystalline Cd at its relaxed geometry.

Structure (extended XYZ):
```
2
Lattice="3.5180 0.0054 0.0050 0.3527 3.5003 0.0050 0.3527 0.3194 3.4857" Properties=species:S:1:pos:R:3 pbc="T T T"
Cd 1.0563 0.9567 0.8743
Cd 3.1671 2.8684 2.6213
```

Values from the calculation:
total magnetization: 0.000 Bohr magnetons per cell
D(E_F): 0.28 states/eV/f.u.

From most stable to least stable, the computed energies give *1*, *4*, *3*, *2*.

*1*
A plane-wave DFT calculation with GGA-PBEsol was carried out for crystalline Cd at its relaxed geometry.

Structure (extended XYZ):
```
1
Lattice="3.0206 0.0000 0.0000 -1.0069 2.8478 0.0000 -1.0069 -1.4239 2.4663" Properties=species:S:1:pos:R:3 pbc="T T T"
Cd 0.0000 0.0000 0.0000
```

Values from the calculation:
total magnetization: 0.000 Bohr magnetons per cell
D(E_F): 0.34 states/eV/f.u.

*2*
A plane-wave DFT calculation with GGA-PBEsol was carried out for crystalline Cd at its relaxed geometry.

Structure (extended XYZ):
```
1
Lattice="-1.1113 2.3752 1.1730 -2.3994 -0.3255 1.9036 1.1511 0.9442 2.6963" Properties=species:S:1:pos:R:3 pbc="T T T"
Cd 0.0000 0.0000 0.0000
```

Values from the calculation:
total magnetization: 0.000 Bohr magnetons per cell
D(E_F): 0.26 states/eV/f.u.

From most stable to least stable, the computed energies give *2*, *1*.

*1*
A plane-wave DFT calculation with GGA-PBEsol was carried out for crystalline Cd at its relaxed geometry.

Structure (extended XYZ):
```
2
Lattice="3.0211 0.0000 0.0000 0.0000 3.0211 0.0000 -1.5106 -1.5106 4.9579" Properties=species:S:1:pos:R:3 pbc="T T T"
Cd 0.0000 0.0000 1.3883
Cd 1.5106 1.5106 3.5697
```

Values from the calculation:
total magnetization: 0.000 Bohr magnetons per cell
D(E_F): 0.36 states/eV/f.u.

*2*
A plane-wave DFT calculation with GGA-PBEsol was carried out for crystalline Cd at its relaxed geometry.

Structure (extended XYZ):
```
1
Lattice="-2.6841 1.0419 -0.8532 -1.6843 -1.8963 -1.6076 -2.3679 -1.1721 1.4272" Properties=species:S:1:pos:R:3 pbc="T T T"
Cd -3.3681 -1.0133 -0.5168
```

Values from the calculation:
total magnetization: 0.000 Bohr magnetons per cell
D(E_F): 0.35 states/eV/f.u.

*3*
A plane-wave DFT calculation with GGA-PBEsol was carried out for crystalline Cd at its relaxed geometry.

Structure (extended XYZ):
```
2
Lattice="-1.7627 2.1766 0.9567 -0.0451 -2.6382 1.3408 3.9245 1.6731 3.4243" Properties=species:S:1:pos:R:3 pbc="T T T"
Cd 1.7532 1.8265 3.6530
Cd 0.3635 -0.6150 2.0688
```

Values from the calculation:
total magnetization: 0.000 Bohr magnetons per cell
D(E_F): 0.25 states/eV/f.u.

From most stable to least stable, the computed energies give *3*, *2*, *1*.

*1*
A plane-wave DFT calculation with GGA-PBEsol was carried out for crystalline Cd2CoCl at its relaxed geometry.

Structure (extended XYZ):
```
4
Lattice="-1.8273 1.1996 -2.1496 -2.9684 0.4744 0.6019 0.3963 9.1260 2.5699" Properties=species:S:1:pos:R:3 pbc="T T T"
Cl -2.3629 4.6988 0.2586
Co -1.0604 2.8693 0.3165
Cd -3.2704 8.2248 0.8116
Cd -4.7009 2.0812 -1.4010
```

Values from the calculation:
total magnetization: 1.978 Bohr magnetons per cell
D(E_F): 3.14 states/eV/f.u.

*2*
A plane-wave DFT calculation with GGA-PBEsol was carried out for crystalline Cd2CoCl at its relaxed geometry.

Structure (extended XYZ):
```
4
Lattice="3.8972 0.0000 0.0000 0.0000 3.8972 0.0000 -1.9486 -1.9486 4.8537" Properties=species:S:1:pos:R:3 pbc="T T T"
Cd 1.9486 0.0000 2.4269
Cd 0.0000 0.0000 0.0000
Cl 1.9486 1.9486 0.0000
Co 0.0000 1.9486 2.4269
```

Values from the calculation:
total magnetization: 1.649 Bohr magnetons per cell
D(E_F): 6.39 states/eV/f.u.

From most stable to least stable, the computed energies give *1*, *2*.

*1*
A plane-wave DFT calculation with GGA-PBEsol was carried out for crystalline Cd2CoCl at its relaxed geometry.

Structure (extended XYZ):
```
4
Lattice="-2.8460 3.6330 -0.3794 -3.9604 0.0990 2.3976 -0.4877 2.9392 3.5448" Properties=species:S:1:pos:R:3 pbc="T T T"
Cd 0.0000 0.0000 0.0000
Cd -5.4706 5.0034 4.1723
Co -1.8235 1.6678 1.3908
Cl -3.6471 3.3356 2.7815
```

Values from the calculation:
total magnetization: 0.000 Bohr magnetons per cell
D(E_F): 0.31 states/eV/f.u.

*2*
A plane-wave DFT calculation with GGA-PBEsol was carried out for crystalline Cd2CoCl at its relaxed geometry.

Structure (extended XYZ):
```
4
Lattice="3.0700 0.0000 0.0000 0.0000 4.9497 0.0129 0.0000 -1.6668 4.6607" Properties=species:S:1:pos:R:3 pbc="T T T"
Cl 1.5350 0.0000 0.0000
Cd 0.0000 2.4749 0.0065
Cd 0.0000 -0.8334 2.3303
Co 1.5350 1.6415 2.3368
```

Values from the calculation:
total magnetization: 1.628 Bohr magnetons per cell
D(E_F): 2.43 states/eV/f.u.

From most stable to least stable, the computed energies give *2*, *1*.

*1*
A plane-wave DFT calculation with GGA-PBEsol was carried out for crystalline Cr2CdCl at its relaxed geometry.

Structure (extended XYZ):
```
4
Lattice="4.2994 0.0000 0.0000 0.0000 4.2994 0.0000 -2.1497 -2.1497 4.0216" Properties=species:S:1:pos:R:3 pbc="T T T"
Cr 0.0000 2.1497 2.0108
Cr 2.1497 0.0000 2.0108
Cl 0.0000 0.0000 0.0000
Cd 2.1497 2.1497 0.0000
```

Values from the calculation:
total magnetization: 8.881 Bohr magnetons per cell
D(E_F): 0.90 states/eV/f.u.

*2*
A plane-wave DFT calculation with GGA-PBEsol was carried out for crystalline Cr2CdCl at its relaxed geometry.

Structure (extended XYZ):
```
4
Lattice="3.1967 0.0000 0.0000 1.5984 2.7684 0.0000 1.5984 0.9228 8.0553" Properties=species:S:1:pos:R:3 pbc="T T T"
Cd 3.1967 1.8456 4.0276
Cl 0.0000 0.0000 0.0000
Cr 4.7951 2.7684 6.1814
Cr 1.5984 0.9228 1.8739
```

Values from the calculation:
total magnetization: 8.249 Bohr magnetons per cell
D(E_F): 3.57 states/eV/f.u.

From most stable to least stable, the computed energies give *2*, *1*.

*1*
A plane-wave DFT calculation with GGA-PBEsol was carried out for crystalline Cd2FeCl at its relaxed geometry.

Structure (extended XYZ):
```
4
Lattice="-2.8447 -0.2940 0.7651 1.3813 -2.1995 4.2903 0.1424 4.4796 2.2507" Properties=species:S:1:pos:R:3 pbc="T T T"
Cd 0.6906 -1.0998 2.1452
Cd 0.0712 2.2398 1.1254
Fe -1.4224 -0.1470 0.3826
Cl -0.6605 0.9930 3.6531
```

Values from the calculation:
total magnetization: 2.558 Bohr magnetons per cell
D(E_F): 3.45 states/eV/f.u.

*2*
A plane-wave DFT calculation with GGA-PBEsol was carried out for crystalline Cd2FeCl at its relaxed geometry.

Structure (extended XYZ):
```
4
Lattice="3.0339 0.0310 0.0453 -0.0555 5.0361 0.0336 -0.0555 -1.7907 4.7071" Properties=species:S:1:pos:R:3 pbc="T T T"
Fe 1.4614 1.6382 2.3930
Cd -0.0278 -0.8954 2.3535
Cd -0.0278 2.5180 0.0168
Cl 1.5169 0.0155 0.0227
```

Values from the calculation:
total magnetization: 2.677 Bohr magnetons per cell
D(E_F): 3.02 states/eV/f.u.

From most stable to least stable, the computed energies give *2*, *1*.